An optimized crystal structure of NbHgB2H. Source: Alexandria via LeMat-Bulk, functional PBE.

```
NbHgB2H
1.0
4.0243 0.0000 0.0000
0.0000 3.4771 0.0000
0.0000 0.0000 4.0243
H Nb B Hg
1 1 2 1
direct
0.0000 0.0000 0.0000
0.0000 0.5000 0.0000
0.0000 0.0000 0.5000
0.5000 0.0000 0.0000
0.5000 0.5000 0.5000
```

total energy: -0.1607 hartree per atom
total magnetization: 0.00 μB per formula unit
DOS(E_F): 2.97 states/eV/f.u.
SG: P4/mmm


An optimized crystal structure of HgBHO2. Source: Alexandria via LeMat-Bulk, functional PBE.

```
HgBHO2
1.0
4.2906 0.0000 0.0000
0.0000 3.4629 0.0000
0.0000 0.0000 4.2906
H B Hg O
1 1 1 2
direct
0.0000 0.5000 0.0000
0.5000 0.5000 0.5000
0.0000 0.0000 0.0000
0.0000 0.0000 0.5000
0.5000 0.0000 0.0000
```

total energy: -0.1024 hartree per atom
total magnetization: 0.00 μB per formula unit
DOS(E_F): 2.70 states/eV/f.u.
SG: P4/mmm


An optimized crystal structure of Hg2BHO4. Source: Alexandria via LeMat-Bulk, functional PBE.

```
Hg2BHO4
1.0
-4.2741 -2.1386 -6.2401
0.5737 0.1705 -7.8372
4.5248 -3.6853 8.4060
Hg B H O
4 2 2 8
direct
0.5000 0.0000 0.0000
0.5000 0.0000 0.5000
0.0000 0.0000 0.5000
0.5000 0.5000 0.0000
0.5000 0.5000 0.5000
0.0000 0.0000 0.0000
0.0000 0.5000 0.0000
0.0000 0.5000 0.5000
0.0679 0.0356 0.9458
0.4644 0.4321 0.5542
0.5356 0.5679 0.4458
0.9321 0.9644 0.0542
0.8628 0.6891 0.1153
0.8109 0.6372 0.3847
0.1891 0.3628 0.6153
0.1372 0.3109 0.8847
```

total energy: -0.1700 hartree per atom
total magnetization: 0.00 μB per formula unit
SG: C2/c


An optimized crystal structure of HgBH2O4. Source: Alexandria via LeMat-Bulk, functional PBE.

```
HgBH2O4
1.0
-3.3199 -0.8145 1.2978
-1.5914 -4.6229 -1.8217
0.2094 -4.2503 3.0190
Hg B H O
1 1 2 4
direct
0.0000 0.0000 0.0000
0.5000 0.5000 0.5000
0.1299 0.3701 0.3701
0.8701 0.6299 0.6299
0.3770 0.2397 0.5365
0.1532 0.7603 0.4635
0.8468 0.5365 0.2397
0.6230 0.4635 0.7603
```

total energy: -0.1895 hartree per atom
total magnetization: 1.03 μB per formula unit
DOS(E_F): 2.58 states/eV/f.u.
SG: I222


An optimized crystal structure of Hg2BHPt6. Source: Alexandria via LeMat-Bulk, functional PBE.

```
Hg2BHPt6
1.0
5.9272 0.0044 0.0111
0.0044 5.9272 0.0108
-2.9633 -2.9630 4.1814
Hg B H Pt
2 1 1 6
direct
0.7508 0.2496 0.5002
0.2491 0.7514 0.5001
0.9999 0.0004 0.9997
0.4993 0.4997 0.9974
0.7459 0.7464 0.9983
0.7463 0.7468 0.4935
0.2542 0.2547 0.0020
0.7466 0.2539 0.0001
0.2535 0.2540 0.5064
0.2534 0.7471 0.0001
```

total energy: -0.1757 hartree per atom
total magnetization: 0.00 μB per formula unit
DOS(E_F): 0.71 states/eV/f.u.
SG: Imm2


An optimized crystal structure of ReHgBH2. Source: Alexandria via LeMat-Bulk, functional PBE.

```
ReHgBH2
1.0
-2.7033 0.3545 -2.3474
2.0338 -2.5158 -2.7222
-1.6250 -2.8697 1.4380
Re B Hg H
1 1 1 2
direct
0.0000 0.0000 0.0000
0.0000 0.5000 0.0000
0.5000 0.5000 0.5000
0.0000 0.0000 0.5000
0.5000 0.0000 0.0000
```

total energy: -0.1645 hartree per atom
total magnetization: 0.00 μB per formula unit
DOS(E_F): 1.43 states/eV/f.u.
SG: P4/mmm